DFT (SCAN) results for a crystal of LiZrSc2 relaxed with PBEsol.

ΔE_f   0.110 eV/atom
M_tot   0.26 μB/f.u.
Crystal system   trigonal
Raw total energy   -15.281 eV per atom

a = 3.1606 Å, b = 3.1606 Å, c = 31.6175 Å
α = 90.00°, β = 90.00°, γ = 120.00°
Space group R-3m (No. 166, hexagonal axes)
Asymmetric unit:
Li  0.0000  0.0000  0.0000 (multiplicity 3)
Zr  0.0000  0.0000  0.5000 (multiplicity 3)
Sc  0.0000  0.0000  0.2462 (multiplicity 6)

---

DFT (SCAN) results for a crystal of DyNiSn relaxed with PBEsol.

ΔE_f   -0.748 eV/atom
M_tot   0.00 μB/f.u.
Crystal system   orthorhombic
Raw total energy   -34.044 eV per atom

a = 7.034 Å, b = 4.402 Å, c = 7.559 Å
α = 90.00°, β = 90.00°, γ = 90.00°
Space group Pnma (No. 62)
Asymmetric unit:
Dy  0.014  0.250  0.198 (multiplicity 4)
Ni  0.203  0.750  0.413 (multiplicity 4)
Sn  0.185  0.250  0.586 (multiplicity 4)

---

DFT (SCAN) results for a crystal of ZnCuMo relaxed with PBEsol.

ΔE_f   0.199 eV/atom
M_tot   0.00 μB/f.u.
Crystal system   trigonal
Raw total energy   -21.001 eV per atom

a = 2.6618 Å, b = 2.6618 Å, c = 6.6181 Å
α = 90.00°, β = 90.00°, γ = 120.00°
Space group P3m1 (No. 156)
Asymmetric unit:
Zn  0.0000  0.0000  0.0000 (multiplicity 1)
Cu  0.3333  0.6667  0.6871 (multiplicity 1)
Mo  0.6667  0.3333  0.3527 (multiplicity 1)

---

DFT (SCAN) results for a crystal of DyNi2 relaxed with PBEsol.

ΔE_f   -0.468 eV/atom
M_tot   0.00 μB/f.u.
Crystal system   cubic
Raw total energy   -27.182 eV per atom

a = 7.032 Å, b = 7.032 Å, c = 7.032 Å
α = 90.00°, β = 90.00°, γ = 90.00°
Space group Fd-3m (No. 227, origin choice 2)
Asymmetric unit:
Dy  0.125  0.125  0.125 (multiplicity 8)
Ni  0.000  0.000  0.500 (multiplicity 16)

---

DFT (SCAN) results for a crystal of TeP2RuS relaxed with PBEsol.

ΔE_f (raw)   1740 meV per atom
M_tot   3.45 μB/f.u.
Crystal system   tetragonal
Raw total energy   -18.760 eV per atom

a = 4.944 Å, b = 4.944 Å, c = 4.819 Å
α = 90.00°, β = 90.00°, γ = 90.00°
Space group P4/mmm (No. 123)
Asymmetric unit:
Te  0.000  0.000  0.000 (multiplicity 1)
P  0.000  0.500  0.000 (multiplicity 2)
Ru  0.500  0.500  0.500 (multiplicity 1)
S  0.000  0.000  0.500 (multiplicity 1)

---

DFT (SCAN) results for a crystal of FePtSe2 relaxed with PBEsol.

ΔE_f (raw)   93 meV per atom
M_tot   3.37 μB/f.u.
Crystal system   tetragonal
Raw total energy   -32.027 eV per atom

a = 5.073 Å, b = 5.073 Å, c = 5.404 Å
α = 90.00°, β = 90.00°, γ = 90.00°
Space group I4/mmm (No. 139)
Asymmetric unit:
Fe  0.000  0.000  0.000 (multiplicity 2)
Pt  0.000  0.000  0.500 (multiplicity 2)
Se  0.000  0.500  0.000 (multiplicity 4)